Record 1
Computed, not measured: an optimized crystal structure of SrSb2Pd8 at the PBE-GGA level of DFT.

Magnetization   0.000 μB/cell
E_form (uncorrected)   -133 meV per atom
Space group   P4/mmm
Density of states at the Fermi level   2.3 states/eV per cell
E_tot   -52.934 eV/cell

abc: 5.5764 5.5764 8.4166
angles: 90.00 90.00 90.00
With the nearest neighbours (Å) after each atom.
Fractional positions:
1 Sr 0.0000 0.0000 0.0000  8 Pd 3.16
2 Sb 0.0000 0.5000 0.5000  8 Pd 2.65
3 Sb 0.5000 0.0000 0.5000  8 Pd 2.65
4 Pd 0.2530 0.2530 0.2904  2 Sb 2.65, 4 Pd 2.75-2.82
5 Pd 0.2530 0.2530 0.7096  2 Sb 2.65, 4 Pd 2.75-2.82
6 Pd 0.2530 0.7470 0.2904  2 Sb 2.65, 4 Pd 2.75-2.82
7 Pd 0.2530 0.7470 0.7096  2 Sb 2.65, 4 Pd 2.75-2.82
8 Pd 0.7470 0.2530 0.2904  2 Sb 2.65, 4 Pd 2.75-2.82
9 Pd 0.7470 0.2530 0.7096  2 Sb 2.65, 4 Pd 2.75-2.82
10 Pd 0.7470 0.7470 0.2904  2 Sb 2.65, 4 Pd 2.75-2.82
11 Pd 0.7470 0.7470 0.7096  2 Sb 2.65, 4 Pd 2.75-2.82


Record 2
Computed, not measured: an optimized crystal structure of Li2LaAg2Pb2 at the PBE-GGA level of DFT.

Magnetization   0.000 μB/cell
Space group   R-3m
Density of states at the Fermi level   2.3 states/eV per cell
Formation energy   -218 kJ/mol of formula units
E_tot   -24.132 eV/cell

abc: 8.6369 8.6369 8.6369
angles: 32.31 32.31 32.31
With the nearest neighbours (Å) after each atom.
Fractional positions:
1 Li 0.1406 0.1406 0.1406  4 Pb 2.90-3.21, 3 Ag 2.90, 3 Li 3.06
2 Li 0.8594 0.8594 0.8594  4 Pb 2.90-3.21, 3 Ag 2.90, 3 Li 3.06
3 La 0.0000 0.0000 0.0000  6 Pb 3.33, 2 Li 3.45
4 Ag 0.4398 0.4398 0.4398  3 Pb 2.88, 3 Li 2.90, 1 Ag 2.95
5 Ag 0.5602 0.5602 0.5602  3 Pb 2.88, 3 Li 2.90, 1 Ag 2.95
6 Pb 0.2586 0.2586 0.2586  3 Ag 2.88, 4 Li 2.90-3.21
7 Pb 0.7414 0.7414 0.7414  3 Ag 2.88, 4 Li 2.90-3.21


Record 3
Computed, not measured: an optimized crystal structure of Mg3Sc3Ag2 at the PBE-GGA level of DFT.

Magnetization   0.000 μB/cell
Space group   Pmmm
Density of states at the Fermi level   5.8 states/eV per cell
Formation energy   -105 kJ/mol of formula units
E_tot   -30.573 eV/cell

abc: 4.7510 4.8359 7.3272
angles: 90.00 90.00 90.00
With the nearest neighbours (Å) after each atom.
Fractional positions:
1 Mg 0.0000 0.0000 0.0000  4 Mg 2.96, 4 Ag 3.05
2 Mg 0.5000 0.0000 0.2419  2 Mg 2.96, 6 Sc 3.00-3.07
3 Mg 0.5000 0.0000 0.7581  2 Mg 2.96, 6 Sc 3.00-3.07
4 Sc 0.0000 0.0000 0.5000  4 Ag 3.02, 4 Mg 3.04
5 Sc 0.5000 0.5000 0.0000  4 Mg 3.00, 4 Ag 3.02
6 Sc 0.5000 0.5000 0.5000  4 Ag 2.98, 4 Mg 3.07
7 Ag 0.0000 0.5000 0.2537  6 Sc 2.98-3.02, 2 Mg 3.05
8 Ag 0.0000 0.5000 0.7463  6 Sc 2.98-3.02, 2 Mg 3.05


Record 4
Computed, not measured: an optimized crystal structure of CsAlCd2Pt at the PBE-GGA level of DFT.

Magnetization   0.000 μB/cell
Space group   P4/mmm
Density of states at the Fermi level   1.3 states/eV per cell
Formation energy   -127 kJ/mol of formula units
E_tot   -13.780 eV/cell

abc: 5.4330 5.4330 4.8690
angles: 90.00 90.00 90.00
With the nearest neighbours (Å) after each atom.
Fractional positions:
1 Cs 0.0000 0.0000 0.0000  8 Cd 3.65, 4 Al 3.84
2 Al 0.5000 0.5000 0.0000  2 Pt 2.43
3 Cd 0.0000 0.5000 0.5000  2 Pt 2.72
4 Cd 0.5000 0.0000 0.5000  2 Pt 2.72
5 Pt 0.5000 0.5000 0.5000  2 Al 2.43, 4 Cd 2.72